# RbY3Re, optimized geometry, DFT GGA-PBE
# relative energy among the computed polymorphs	0.000	eV/atom
# DFT formation energy	1.96	eV/f.u.
data_RbY3Re
_chemical_formula_sum 'Rb1 Y3 Re1'
_cell_length_a 5.6100
_cell_length_b 5.6100
_cell_length_c 5.6100
_cell_angle_alpha 90.00
_cell_angle_beta 90.00
_cell_angle_gamma 90.00
_space_group_name_H-M_alt 'P m -3 m'
_space_group_IT_number 221
_space_group_name_Hall '-P 4 2 3'
loop_
_atom_site_label
_atom_site_type_symbol
_atom_site_fract_x
_atom_site_fract_y
_atom_site_fract_z
Rb1 Rb 0.0000 0.0000 0.0000
Y1 Y 0.0000 0.5000 0.5000
Re1 Re 0.5000 0.5000 0.5000

---

# Ti2V2Rh, optimized geometry, DFT GGA-PBE
# relative energy among the computed polymorphs	0.359	eV/atom
# DFT formation energy	-0.12	eV/f.u.
data_Ti2V2Rh
_chemical_formula_sum 'Ti4 V4 Rh2'
_cell_length_a 6.2622
_cell_length_b 6.2622
_cell_length_c 3.9912
_cell_angle_alpha 90.00
_cell_angle_beta 90.00
_cell_angle_gamma 90.00
_space_group_name_H-M_alt 'P 4/m b m'
_space_group_IT_number 127
_space_group_name_Hall '-P 4 2ab'
loop_
_atom_site_label
_atom_site_type_symbol
_atom_site_fract_x
_atom_site_fract_y
_atom_site_fract_z
Ti1 Ti 0.1678 0.3322 0.0000
V1 V 0.1378 0.6378 0.5000
Rh1 Rh 0.0000 0.0000 0.5000

---

# Th4Si6Ir7, optimized geometry, DFT GGA-PBE
# formation energy (no corrections)	-951	meV/atom
data_Th4Si6Ir7
_chemical_formula_sum 'Th8 Si12 Ir14'
_cell_length_a 8.5149
_cell_length_b 8.5149
_cell_length_c 8.5149
_cell_angle_alpha 90.00
_cell_angle_beta 90.00
_cell_angle_gamma 90.00
_space_group_name_H-M_alt 'I m -3 m'
_space_group_IT_number 229
_space_group_name_Hall '-I 4 2 3'
loop_
_atom_site_label
_atom_site_type_symbol
_atom_site_fract_x
_atom_site_fract_y
_atom_site_fract_z
Th1 Th 0.2500 0.2500 0.2500
Si1 Si 0.0000 0.0000 0.3312
Ir1 Ir 0.0000 0.0000 0.0000
Ir2 Ir 0.0000 0.2500 0.5000

---

# RbLiNp2Br8, optimized geometry, DFT GGA-PBE
# formation energy (no corrections)	-1394	meV/atom
data_RbLiNp2Br8
_chemical_formula_sum 'Rb1 Li1 Np2 Br8'
_cell_length_a 7.0313
_cell_length_b 7.2865
_cell_length_c 8.9964
_cell_angle_alpha 90.28
_cell_angle_beta 90.72
_cell_angle_gamma 97.03
_space_group_name_H-M_alt 'P -1'
_space_group_IT_number 2
loop_
_space_group_symop_operation_xyz
'x,y,z'
'-x,-y,-z'
loop_
_atom_site_label
_atom_site_type_symbol
_atom_site_fract_x
_atom_site_fract_y
_atom_site_fract_z
Rb1 Rb 0.0000 0.0000 0.0000
Li1 Li 0.0000 0.0000 0.5000
Np1 Np 0.4990 0.4997 0.2594
Br1 Br 0.2395 0.1698 0.2947
Br2 Br 0.2471 0.1654 0.7134
Br3 Br 0.2814 0.6439 0.4994
Br4 Br 0.2918 0.6297 0.9979

---

# NiPb, optimized geometry, DFT GGA-PBE
# DFT formation energy	0.58	eV/f.u.
data_NiPb
_chemical_formula_sum 'Ni2 Pb2'
_cell_length_a 3.6560
_cell_length_b 3.6560
_cell_length_c 7.4677
_cell_angle_alpha 90.00
_cell_angle_beta 90.00
_cell_angle_gamma 120.00
_space_group_name_H-M_alt 'P -3 m 1'
_space_group_IT_number 164
_space_group_name_Hall '-P 3 2"'
loop_
_atom_site_label
_atom_site_type_symbol
_atom_site_fract_x
_atom_site_fract_y
_atom_site_fract_z
Ni1 Ni 0.3333 0.6667 0.0763
Pb1 Pb 0.3333 0.6667 0.6961

---

# Mg2BePb, optimized geometry, DFT GGA-PBE
# relative energy among the computed polymorphs	0.157	eV/atom
# DFT formation energy	1.13	eV/f.u.
data_Mg2BePb
_chemical_formula_sum 'Mg6 Be3 Pb3'
_cell_length_a 3.2655
_cell_length_b 3.2655
_cell_length_c 28.1928
_cell_angle_alpha 90.00
_cell_angle_beta 90.00
_cell_angle_gamma 120.00
_space_group_name_H-M_alt 'R -3 m'
_space_group_IT_number 166
_space_group_name_Hall '-R 3 2"'
loop_
_atom_site_label
_atom_site_type_symbol
_atom_site_fract_x
_atom_site_fract_y
_atom_site_fract_z
Mg1 Mg 0.0000 0.0000 0.2330
Be1 Be 0.0000 0.0000 0.5000
Pb1 Pb 0.0000 0.0000 0.0000

---

# BePtO, optimized geometry, DFT GGA-PBE
# formation energy (no corrections)	-806	meV/atom
data_BePtO
_chemical_formula_sum 'Be4 Pt4 O4'
_cell_length_a 4.9109
_cell_length_b 4.8758
_cell_length_c 6.1596
_cell_angle_alpha 90.00
_cell_angle_beta 90.00
_cell_angle_gamma 90.00
_space_group_name_H-M_alt 'P n m a'
_space_group_IT_number 62
loop_
_space_group_symop_operation_xyz
'x,y,z'
'-x,-y,-z'
'-x+1/2,-y,z+1/2'
'x+1/2,y,-z+1/2'
'x+1/2,-y+1/2,-z+1/2'
'-x+1/2,y+1/2,z+1/2'
'-x,y+1/2,-z'
'x,-y+1/2,z'
loop_
_atom_site_label
_atom_site_type_symbol
_atom_site_fract_x
_atom_site_fract_y
_atom_site_fract_z
Be1 Be 0.1415 0.2500 0.1043
Pt1 Pt 0.1195 0.2500 0.4864
O1 O 0.0000 0.0000 0.0000

---

# Na2CdF3, optimized geometry, DFT GGA-PBE
# formation energy (no corrections)	-2212	meV/atom
data_Na2CdF3
_chemical_formula_sum 'Na4 Cd2 F6'
_cell_length_a 3.2801
_cell_length_b 4.9636
_cell_length_c 10.8543
_cell_angle_alpha 90.00
_cell_angle_beta 90.00
_cell_angle_gamma 90.00
_space_group_name_H-M_alt 'I m m m'
_space_group_IT_number 71
_space_group_name_Hall '-I 2 2'
loop_
_atom_site_label
_atom_site_type_symbol
_atom_site_fract_x
_atom_site_fract_y
_atom_site_fract_z
Na1 Na 0.0000 0.0000 0.1662
Cd1 Cd 0.0000 0.0000 0.5000
F1 F 0.0000 0.5000 0.1858
F2 F 0.0000 0.5000 0.5000